# 1
The following is a GGA-PBE calculation of an optimized crystal structure of ScInSb, from Alexandria.

Structure (CIF):
```
data_ScInSb
_space_group_name_H-M_alt 'P -1'
_space_group_IT_number 2
_space_group_name_Hall '-P 1'
_cell_length_a 4.517
_cell_length_b 5.778
_cell_length_c 6.146
_cell_angle_alpha 89.95
_cell_angle_beta 90.00
_cell_angle_gamma 67.07
loop_
_atom_site_label
_atom_site_fract_x
_atom_site_fract_y
_atom_site_fract_z
_atom_site_occupancy
Sc1 0.141 0.218 0.251 1
In1 0.500 0.500 0.000 1
In2 0.500 0.500 0.500 1
Sb1 0.167 0.166 0.750 1
```

***

# 2
The following is a GGA-PBE calculation of an optimized crystal structure of ScInSb2, from Alexandria.

Structure (CIF):
```
data_ScInSb2
_space_group_name_H-M_alt 'I m m m'
_space_group_IT_number 71
_space_group_name_Hall '-I 2 2'
_cell_length_a 4.172
_cell_length_b 5.190
_cell_length_c 9.262
_cell_angle_alpha 90.00
_cell_angle_beta 90.00
_cell_angle_gamma 90.00
loop_
_atom_site_label
_atom_site_fract_x
_atom_site_fract_y
_atom_site_fract_z
_atom_site_occupancy
Sc1 0.000 0.000 0.000 1
In1 0.000 0.000 0.500 1
Sb1 0.000 0.500 0.255 1
```

***

no.,M_tot (Bohr magnetons per cell),formation energy (no corrections) (eV per atom),energy (eV/atom)
1,0.00,-0.443,-4.841
2,0.00,-0.264,-4.593